Entry 1:
Material: BeRu2Pb
Method: DFT, GGA-PBE
State: relaxed

Its formation enthalpy at 0 K is 0.62 eV per atom. The value obtained for the uncorrected energy is -5.88 eV/atom. The calculated density is 11.07 g/cm3. Its polymorph energy (0 for the lowest one) is 328 meV per atom. The value obtained for the spin magnetization is 0.00 μB/cell.

The structure belongs to space group Pmmm (No. 47); the cell edges are 3.0885, 4.2444 and 4.7853 Å and the angles 90.00°, 90.00° and 90.00°. The asymmetric unit holds Be at (0.0000, 0.0000, 0.0000), Ru at (0.0000, 0.5000, 0.5000), Ru at (0.5000, 0.5000, 0.0000) and Pb at (0.5000, 0.0000, 0.5000).

=====

Entry 2:
Material: YFe4Cu
Method: DFT, GGA-PBE
State: relaxed

Its formation enthalpy at 0 K is 0.07 eV per atom. The value obtained for the uncorrected energy is -7.33 eV/atom. The calculated density is 7.24 g/cm3. The value obtained for the spin magnetization is 35.02 μB/cell.

The structure belongs to space group F-43m (No. 216); the cell edges are 7.0108, 7.0108 and 7.0108 Å and the angles 90.00°, 90.00° and 90.00°. The asymmetric unit holds Y at (0.0000, 0.0000, 0.0000), Fe at (0.1246, 0.1246, 0.3754) and Cu at (0.2500, 0.2500, 0.7500).

=====

Entry 3:
Material: Li2ZrB
Method: DFT, GGA-PBE
State: relaxed

Its formation enthalpy at 0 K is 0.23 eV per atom. The value obtained for the uncorrected energy is -4.53 eV/atom. The calculated density is 3.30 g/cm3. The value obtained for the spin magnetization is 0.00 μB/cell.

The structure belongs to space group I-42d (No. 122); the cell edges are 3.5001, 3.5001 and 19.0480 Å and the angles 90.00°, 90.00° and 90.00°. The asymmetric unit holds Li at (0.1892, 0.7500, 0.1250), Zr at (0.0000, 0.0000, 0.5000) and B at (0.0000, 0.0000, 0.0000).

=====

Entry 4:
Material: KBaLi3
Method: DFT, GGA-PBE
State: relaxed

Its formation enthalpy at 0 K is 0.40 eV per atom. The value obtained for the uncorrected energy is -1.36 eV/atom. The calculated density is 1.50 g/cm3. Its polymorph energy (0 for the lowest one) is 0 meV per atom. The value obtained for the spin magnetization is 0.00 μB/cell.

The structure belongs to space group Pm-3m (No. 221); the cell edges are 6.0284, 6.0284 and 6.0284 Å and the angles 90.00°, 90.00° and 90.00°. The asymmetric unit holds K at (0.0000, 0.0000, 0.0000), Ba at (0.5000, 0.5000, 0.5000) and Li at (0.0000, 0.0000, 0.5000).

=====

Entry 5:
Material: BBr
Method: DFT, GGA-PBE
State: relaxed

The value obtained for the uncorrected energy is -4.20 eV/atom. The calculated density is 2.13 g/cm3. The value obtained for the uncorrected formation energy is -4 kJ/mol of formula units. Its polymorph energy (0 for the lowest one) is 305 meV per atom. The value obtained for the spin magnetization is 0.00 μB/cell.

The structure belongs to space group P2_12_12_1 (No. 19); the cell edges are 5.4404, 8.3322 and 12.4536 Å and the angles 90.00°, 90.00° and 90.00°. The asymmetric unit holds B at (0.1131, 0.1692, 0.0081), B at (0.1400, 0.7341, 0.5528), Br at (0.1250, 0.9396, 0.0335) and Br at (0.1496, 0.6927, 0.7059).

=====

Entry 6:
Material: Mg3In3Pb4
Method: DFT, GGA-PBE
State: relaxed

Its formation enthalpy at 0 K is 0.01 eV per atom. The value obtained for the uncorrected energy is -2.77 eV/atom. The calculated density is 7.43 g/cm3. The value obtained for the spin magnetization is 0.00 μB/cell.

The structure belongs to space group Amm2 (No. 38); the cell edges are 3.4018, 12.3214 and 13.2839 Å and the angles 90.00°, 90.00° and 90.00°. The asymmetric unit holds Mg at (0.0000, 0.0000, 0.0000), Mg at (0.0000, 0.1291, 0.6306), In at (0.0000, 0.0000, 0.2226), In at (0.5000, 0.2180, 0.2710), Pb at (0.5000, 0.0000, 0.4516), Pb at (0.5000, 0.0000, 0.7976) and Pb at (0.5000, 0.2134, 0.9982).

=====

Entry 7:
Material: KPuAuI5
Method: DFT, GGA-PBE
State: relaxed

The value obtained for the uncorrected energy is -4.21 eV/atom. The calculated density is 4.64 g/cm3. The value obtained for the uncorrected formation energy is -696 kJ/mol of formula units. The value obtained for the spin magnetization is 20.00 μB/cell.

The structure belongs to space group C2/c (No. 15); the cell edges are 8.6578, 16.3944 and 11.3340 Å and the angles 90.00°, 97.29° and 90.00°. The asymmetric unit holds K at (0.0000, 0.0080, 0.2500), Pu at (0.0000, 0.5000, 0.0000), Au at (0.0000, 0.3625, 0.7500), I at (0.0000, 0.4162, 0.2500), I at (0.1910, 0.0908, 0.0072) and I at (0.2054, 0.3496, 0.6011).

=====

Entry 8:
Material: Rb2CoPbI6
Method: DFT, GGA-PBE
State: relaxed

The value obtained for the uncorrected energy is -2.91 eV/atom. The calculated density is 4.69 g/cm3. The value obtained for the uncorrected formation energy is -682 kJ/mol of formula units. The value obtained for the spin magnetization is 11.11 μB/cell.

The structure belongs to space group Fm-3m (No. 225); the cell edges are 11.9245, 11.9245 and 11.9245 Å and the angles 90.00°, 90.00° and 90.00°. The asymmetric unit holds Rb at (0.2500, 0.2500, 0.2500), Co at (0.0000, 0.0000, 0.0000), Pb at (0.0000, 0.0000, 0.5000) and I at (0.0000, 0.0000, 0.2335).

=====

Entry 9:
Material: CoHg2Os
Method: DFT, GGA-PBE
State: relaxed

Its formation enthalpy at 0 K is 0.46 eV per atom. The value obtained for the uncorrected energy is -4.28 eV/atom. The calculated density is 15.70 g/cm3. Its polymorph energy (0 for the lowest one) is 0 meV per atom. The value obtained for the spin magnetization is 0.00 μB/cell.

The structure belongs to space group Pm (No. 6); the cell edges are 2.8726, 2.8268 and 8.5917 Å and the angles 90.00°, 99.58° and 90.00°. The asymmetric unit holds Co at (0.0000, 0.0000, 0.0000), Hg at (0.2196, 0.0000, 0.4351), Hg at (0.3816, 0.5000, 0.7604) and Os at (0.5853, 0.5000, 0.1705).

=====

Entry 10:
Material: Mg2TaNiHg
Method: DFT, GGA-PBE
State: relaxed

Its formation enthalpy at 0 K is 1.21 eV per atom. The value obtained for the uncorrected energy is -3.02 eV/atom. The calculated density is 7.14 g/cm3. Its polymorph energy (0 for the lowest one) is 418 meV per atom. The value obtained for the spin magnetization is 1.74 μB/cell.

The structure belongs to space group P4/mmm (No. 123); the cell edges are 4.8920, 4.8920 and 4.7475 Å and the angles 90.00°, 90.00° and 90.00°. The asymmetric unit holds Mg at (0.0000, 0.5000, 0.0000), Ta at (0.0000, 0.0000, 0.5000), Ni at (0.5000, 0.5000, 0.5000) and Hg at (0.5000, 0.5000, 0.0000).

=====

Entry 11:
Material: KTl3N
Method: DFT, GGA-PBE
State: relaxed

The value obtained for the uncorrected energy is -2.72 eV/atom. The calculated density is 7.59 g/cm3. The value obtained for the uncorrected formation energy is 281 kJ/mol of formula units. Its polymorph energy (0 for the lowest one) is 0 meV per atom. The value obtained for the spin magnetization is 0.00 μB/cell.

The structure belongs to space group Pm-3m (No. 221); the cell edges are 5.2633, 5.2633 and 5.2633 Å and the angles 90.00°, 90.00° and 90.00°. The asymmetric unit holds K at (0.0000, 0.0000, 0.0000), Tl at (0.0000, 0.5000, 0.5000) and N at (0.5000, 0.5000, 0.5000).

=====

Entry 12:
Material: Pm2Ho3Tm6Sc
Method: DFT, GGA-PBE
State: relaxed

Its formation enthalpy at 0 K is 0.03 eV per atom. The value obtained for the uncorrected energy is -4.67 eV/atom. The calculated density is 8.40 g/cm3. The value obtained for the spin magnetization is 0.00 μB/cell.

The structure belongs to space group C2/m (No. 12); the cell edges are 6.0661, 10.4999 and 11.6220 Å and the angles 90.00°, 99.99° and 90.00°. The asymmetric unit holds Pm at (0.0000, 0.1665, 0.0000), Ho at (0.0000, 0.0000, 0.5000), Ho at (0.0000, 0.3336, 0.5000), Tm at (0.2474, 0.5000, 0.7494), Tm at (0.2485, 0.3347, 0.2502) and Sc at (0.0000, 0.5000, 0.0000).

=====

Repeat the fifth record exactly.
Material: BBr
Method: DFT, GGA-PBE
State: relaxed

The value obtained for the uncorrected energy is -4.20 eV/atom. The calculated density is 2.13 g/cm3. The value obtained for the uncorrected formation energy is -4 kJ/mol of formula units. Its polymorph energy (0 for the lowest one) is 305 meV per atom. The value obtained for the spin magnetization is 0.00 μB/cell.

The structure belongs to space group P2_12_12_1 (No. 19); the cell edges are 5.4404, 8.3322 and 12.4536 Å and the angles 90.00°, 90.00° and 90.00°. The asymmetric unit holds B at (0.1131, 0.1692, 0.0081), B at (0.1400, 0.7341, 0.5528), Br at (0.1250, 0.9396, 0.0335) and Br at (0.1496, 0.6927, 0.7059).